Record 1
## LiYZrIn (PBE)

Data for a relaxed LiYZrIn crystal.

Properties
DFT formation energy in eV/atom: -0.13
Final energy in eV/atom: -5.051

Unit cell a=7.1942 b=7.1942 c=7.1942 alpha=90.00 beta=90.00 gamma=90.00
With the nearest neighbours (Å) after each atom.
Space group F-43m (No. 216)
One atom of each set of equivalent atoms:
Li 0.0000 0.0000 0.0000 [4 per cell]  4 Y 3.12, 4 Zr 3.12
Y 0.2500 0.2500 0.7500 [4 per cell]  4 In 3.12, 4 Li 3.12
Zr 0.2500 0.2500 0.2500 [4 per cell]  4 In 3.12, 4 Li 3.12
In 0.0000 0.0000 0.5000 [4 per cell]  4 Zr 3.12, 4 Y 3.12


Record 2
## Ca2Tl2Rh4C (PBE)

Data for a relaxed Ca2Tl2Rh4C crystal.

Properties
DFT formation energy in eV/atom: -0.11
Final energy in eV/atom: -5.372

Unit cell a=6.1780 b=6.1780 c=8.5950 alpha=90.00 beta=90.00 gamma=90.00
With the nearest neighbours (Å) after each atom.
Space group I4/mmm (No. 139)
One atom of each set of equivalent atoms:
Ca 0.0000 0.0000 0.2092 [4 per cell]  1 C 2.50
Tl 0.0000 0.5000 0.2500 [4 per cell]  8 Rh 3.07, 4 Ca 3.11
Rh 0.2291 0.2291 0.5000 [8 per cell]  1 C 2.00
C 0.0000 0.0000 0.5000 [2 per cell]  4 Rh 2.00


Record 3
## Mg4SbRh (PBE)

Data for a relaxed Mg4SbRh crystal.

Properties
Final energy in eV/atom: -2.904
Formation energy without anion corrections in eV/atom: 0.0714

Unit cell a=7.8606 b=7.8606 c=7.8606 alpha=90.00 beta=90.00 gamma=90.00
With the nearest neighbours (Å) after each atom.
Space group F-43m (No. 216)
One atom of each set of equivalent atoms:
Mg 0.1238 0.1238 0.1238 [16 per cell]  6 Mg 2.75-2.81
Sb 0.0000 0.0000 0.5000 [4 per cell]  12 Mg 3.26, 4 Rh 3.40
Rh 0.2500 0.2500 0.7500 [4 per cell]  12 Mg 3.26, 4 Sb 3.40


Record 4
## ZrPbBr2 (PBE)

Data for a relaxed ZrPbBr2 crystal.

Properties
Final energy in eV/atom: -4.000
Formation energy without anion corrections in eV/atom: -0.0995
Energy above the most stable polymorph in this dataset in eV/f.u.: 2.70

Unit cell a=4.6990 b=4.6990 c=9.2001 alpha=90.00 beta=90.00 gamma=90.00
With the nearest neighbours (Å) after each atom.
Space group I4/mmm (No. 139)
One atom of each set of equivalent atoms:
Zr 0.0000 0.0000 0.0000 [2 per cell]  8 Br 3.29, 4 Pb 3.32
Pb 0.0000 0.0000 0.5000 [2 per cell]  8 Br 3.29, 4 Zr 3.32
Br 0.0000 0.5000 0.2500 [4 per cell]  4 Zr 3.29, 4 Pb 3.29, 4 Br 3.32


Record 5
## BaMg2Zr (PBE)

Data for a relaxed BaMg2Zr crystal.

Properties
DFT formation energy in eV/atom: 0.33
Final energy in eV/atom: -3.086
Energy above the most stable polymorph in this dataset in eV/f.u.: 0.77

Unit cell a=3.3675 b=4.6843 c=7.5977 alpha=90.00 beta=90.00 gamma=90.00
With the nearest neighbours (Å) after each atom.
Space group Pmm2 (No. 25)
One atom of each set of equivalent atoms:
Ba 0.0000 0.0000 0.0000 [1 per cell]  2 Ba 3.37, 5 Mg 3.66-3.70, 4 Zr 3.74
Mg 0.0000 0.0000 0.5128 [1 per cell]  4 Zr 3.17, 6 Mg 3.32-3.37
Mg 0.5000 0.5000 0.2960 [1 per cell]  1 Zr 2.97, 4 Mg 3.32
Zr 0.5000 0.5000 0.6869 [1 per cell]  5 Mg 2.97-3.17


Record 6
## Ba2PbI (PBE)

Data for a relaxed Ba2PbI crystal.

Properties
Final energy in eV/atom: -3.241
Formation energy without anion corrections in eV/atom: -0.9649
Energy above the most stable polymorph in this dataset in eV/f.u.: 0.00

Unit cell a=4.1964 b=4.1964 c=9.3499 alpha=90.00 beta=90.00 gamma=90.00
With the nearest neighbours (Å) after each atom.
Space group P4/mmm (No. 123)
One atom of each set of equivalent atoms:
Ba 0.0000 0.0000 0.2323 [2 per cell]  4 Pb 3.68, 4 I 3.88
Pb 0.5000 0.5000 0.0000 [1 per cell]  8 Ba 3.68
I 0.5000 0.5000 0.5000 [1 per cell]  8 Ba 3.88, 4 I 4.20


Record 7
## La4Tb4Dy (PBE)

Data for a relaxed La4Tb4Dy crystal.

Properties
DFT formation energy in eV/atom: 0.75
Final energy in eV/atom: -4.010
Energy above the most stable polymorph in this dataset in eV/f.u.: 6.52

Unit cell a=5.4949 b=5.4949 c=23.5627 alpha=90.00 beta=90.00 gamma=90.00
With the nearest neighbours (Å) after each atom.
Space group I-42m (No. 121)
One atom of each set of equivalent atoms:
La 0.0000 0.0000 0.2479 [4 per cell]  4 Tb 3.43-3.52
La 0.0000 0.5000 0.0000 [4 per cell]  2 Dy 2.75
Tb 0.2490 0.2490 0.8724 [8 per cell]  4 La 3.43-3.58, 1 Dy 3.58
Dy 0.0000 0.0000 0.5000 [2 per cell]  4 La 2.75


Please write out number 6 again, unchanged.
## Ba2PbI (PBE)

Data for a relaxed Ba2PbI crystal.

Properties
Final energy in eV/atom: -3.241
Formation energy without anion corrections in eV/atom: -0.9649
Energy above the most stable polymorph in this dataset in eV/f.u.: 0.00

Unit cell a=4.1964 b=4.1964 c=9.3499 alpha=90.00 beta=90.00 gamma=90.00
With the nearest neighbours (Å) after each atom.
Space group P4/mmm (No. 123)
One atom of each set of equivalent atoms:
Ba 0.0000 0.0000 0.2323 [2 per cell]  4 Pb 3.68, 4 I 3.88
Pb 0.5000 0.5000 0.0000 [1 per cell]  8 Ba 3.68
I 0.5000 0.5000 0.5000 [1 per cell]  8 Ba 3.88, 4 I 4.20


> Which value of final energy does entry 7 give?

-4.010 eV/atom


> The lowest final energy belongs to which entry?

Ca2Tl2Rh4C


> Which formula does entry 5 have?

BaMg2Zr